A plane-wave DFT calculation with GGA-PBE was carried out for a geometry-optimized Np3U2NbN6 structure.

Cell lengths 5.8687, 5.8687, 5.8544 Å; angles 99.65, 99.65, 119.98 degrees
Element x y z (fractional)
N  0.0783  0.4014  0.2351
N  0.9217  0.5986  0.7649
Np  0.8334  0.1666  0.5000
N  0.5986  0.9217  0.7649
N  0.2432  0.2432  0.7620
U  0.3336  0.6664  0.0000
Nb  0.0000  0.0000  0.0000
N  0.7568  0.7568  0.2380
N  0.4014  0.0783  0.2351
Np  0.1666  0.8334  0.5000
Np  0.5000  0.5000  0.5000
U  0.6664  0.3336  0.0000

Calculated values
E_form (uncorrected), eV/atom: -1.22
Spin magnetization, μB per atom: 0.94
Mass density, g/cm³: 13.76
DOS at the Fermi energy, states/eV/f.u.: 17.46
Symmetry: C2/m, No. 12